Material: Te2C
Method: DFT, PBE
State: relaxed

Raw formation energy   1.10 eV/atom
Offset from the most stable computed form   0.368 eV per atom
Crystal system   orthorhombic

Cell lengths 3.545, 19.747, 4.609 Å; angles 90.00, 90.00, 90.00 degrees
Space group Cmcm (No. 63)
One atom of each set of equivalent atoms:
Te  0.000  0.039  0.250
Te  0.000  0.301  0.250
C  0.000  0.266  0.750

Material: TeC
Method: DFT, PBE
State: relaxed

Raw formation energy   2.50 eV/atom
Offset from the most stable computed form   1.745 eV per atom
Crystal system   cubic

Cell lengths 3.155, 3.155, 3.155 Å; angles 90.00, 90.00, 90.00 degrees
Space group Pm-3m (No. 221)
One atom of each set of equivalent atoms:
Te  0.000  0.000  0.000
C  0.500  0.500  0.500

Material: TeC
Method: DFT, PBE
State: relaxed

Raw formation energy   1.68 eV/atom
Offset from the most stable computed form   0.929 eV per atom
Crystal system   tetragonal

Cell lengths 10.420, 10.420, 3.865 Å; angles 90.00, 90.00, 90.00 degrees
Space group P4/m (No. 83)
One atom of each set of equivalent atoms:
Te  0.048  0.263  0.000
Te  0.162  0.555  0.500
C  0.043  0.370  0.500
C  0.144  0.661  0.000

Question: The highest raw formation energy belongs to which entry?
Answer: number 2